Arrangement w

The following is a DFT calculation (PBE) of an optimized crystal structure of Pr3Sm2In.

Cell and atoms, written as POSCAR:
```
Pr3Sm2In
1.0
8.976 0.000 0.000
0.000 3.775 0.000
-0.031 0.000 11.745
Pr Sm In
6 4 2
direct
0.095 0.250 0.103
0.347 0.750 0.571
0.397 0.750 0.250
0.603 0.250 0.750
0.653 0.250 0.429
0.905 0.750 0.897
0.087 0.250 0.393
0.356 0.750 0.929
0.644 0.250 0.071
0.913 0.750 0.607
0.158 0.250 0.756
0.842 0.750 0.244
```

SG = P2_1/m (11)
N(E_F) = 1.259 states/eV/atom



Arrangement x

The following is a DFT calculation (PBE) of an optimized crystal structure of Pr3Sm2In.

Cell and atoms, written as POSCAR:
```
Pr3Sm2In
1.0
2.513 -7.800 0.000
2.513 7.800 0.000
0.000 0.000 4.999
Pr Sm In
3 2 1
direct
0.000 0.000 0.000
0.335 0.665 0.000
0.665 0.335 0.000
0.162 0.838 0.500
0.838 0.162 0.500
0.500 0.500 0.500
```

SG = Cmmm (65)
N(E_F) = 1.274 states/eV/atom



The energy of each structure relative to the most stable one, in meV/atom, is as follows: arrangement w 21; arrangement x 0.



Arrangement w

The following is a DFT calculation (PBE) of an optimized crystal structure of PrSmInSn.

Cell and atoms, written as POSCAR:
```
PrSmInSn
1.0
0.000 3.875 3.875
3.875 0.000 3.875
3.875 3.875 0.000
Pr Sm In Sn
1 1 1 1
direct
0.000 0.000 0.000
0.500 0.500 0.500
0.750 0.750 0.750
0.250 0.250 0.250
```

SG = F-43m (216)
N(E_F) = 0.796 states/eV/atom



Arrangement x

The following is a DFT calculation (PBE) of an optimized crystal structure of PrSmInSn.

Cell and atoms, written as POSCAR:
```
PrSmInSn
1.0
4.416 0.000 0.000
0.000 2.344 5.897
0.000 -2.344 5.897
Pr Sm In Sn
1 1 1 1
direct
0.000 0.000 0.000
0.500 0.724 0.724
0.500 0.446 0.446
0.000 0.277 0.277
```

SG = Amm2 (38)
N(E_F) = 0.996 states/eV/atom



The energy of each structure relative to the most stable one, in meV/atom, is as follows: arrangement w 101; arrangement x 0.



Arrangement w

The following is a DFT calculation (PBE) of an optimized crystal structure of PrSmTmIn.

Cell and atoms, written as POSCAR:
```
PrSmTmIn
1.0
0.000 3.904 3.904
3.904 0.000 3.904
3.904 3.904 0.000
Pr Sm Tm In
1 1 1 1
direct
0.000 0.000 0.000
0.250 0.250 0.250
0.750 0.750 0.750
0.500 0.500 0.500
```

SG = F-43m (216)
N(E_F) = 1.457 states/eV/atom



Arrangement x

The following is a DFT calculation (PBE) of an optimized crystal structure of PrSmTmIn.

Cell and atoms, written as POSCAR:
```
PrSmTmIn
1.0
0.000 3.915 3.915
3.915 0.000 3.915
3.915 3.915 0.000
Pr Sm Tm In
1 1 1 1
direct
0.000 0.000 0.000
0.500 0.500 0.500
0.750 0.750 0.750
0.250 0.250 0.250
```

SG = F-43m (216)
N(E_F) = 1.892 states/eV/atom



The energy of each structure relative to the most stable one, in meV/atom, is as follows: arrangement w 68; arrangement x 0.



Arrangement w

The following is a DFT calculation (PBE) of an optimized crystal structure of PrSmZnIn.

Cell and atoms, written as POSCAR:
```
PrSmZnIn
1.0
3.738 0.000 0.000
0.000 3.738 0.000
0.000 0.000 7.707
Pr Sm Zn In
1 1 1 1
direct
0.000 0.000 0.000
0.000 0.000 0.538
0.500 0.500 0.758
0.500 0.500 0.276
```

SG = P4mm (99)
N(E_F) = 0.916 states/eV/atom



Arrangement x

The following is a DFT calculation (PBE) of an optimized crystal structure of PrSmZnIn.

Cell and atoms, written as POSCAR:
```
PrSmZnIn
1.0
0.000 3.795 3.795
3.795 0.000 3.795
3.795 3.795 0.000
Pr Sm Zn In
1 1 1 1
direct
0.000 0.000 0.000
0.500 0.500 0.500
0.250 0.250 0.250
0.750 0.750 0.750
```

SG = F-43m (216)
N(E_F) = 1.207 states/eV/atom



The energy of each structure relative to the most stable one, in meV/atom, is as follows: arrangement w 0; arrangement x 19.